# PBE Ac3YTl12, optimized geometry
data_Ac3YTl12
_chemical_formula_sum 'Ac3 Y1 Tl12'
_cell_length_a 4.950
_cell_length_b 4.950
_cell_length_c 19.851
_cell_angle_alpha 90.00
_cell_angle_beta 90.00
_cell_angle_gamma 90.00
_space_group_name_H-M_alt 'P 4/m m m'
_space_group_IT_number 123
_space_group_name_Hall '-P 4 2'
loop_
_atom_site_label
_atom_site_type_symbol
_atom_site_fract_x
_atom_site_fract_y
_atom_site_fract_z
Ac1 Ac 0.000 0.000 0.000
Ac2 Ac 0.000 0.000 0.258
Y1 Y 0.000 0.000 0.500
Tl1 Tl 0.000 0.500 0.129
Tl2 Tl 0.000 0.500 0.385
Tl3 Tl 0.500 0.500 0.000
Tl4 Tl 0.500 0.500 0.252
Tl5 Tl 0.500 0.500 0.500
# DFT formation energy: -0.2885 eV per atom
# M_tot: 0.0 Bohr magnetons per cell

---

# PBE AcY2Tl3, optimized geometry
data_AcY2Tl3
_chemical_formula_sum 'Ac1 Y2 Tl3'
_cell_length_a 3.866
_cell_length_b 3.866
_cell_length_c 11.978
_cell_angle_alpha 90.00
_cell_angle_beta 90.00
_cell_angle_gamma 90.00
_space_group_name_H-M_alt 'P 4/m m m'
_space_group_IT_number 123
_space_group_name_Hall '-P 4 2'
loop_
_atom_site_label
_atom_site_type_symbol
_atom_site_fract_x
_atom_site_fract_y
_atom_site_fract_z
Ac1 Ac 0.000 0.000 0.000
Y1 Y 0.000 0.000 0.344
Tl1 Tl 0.500 0.500 0.191
Tl2 Tl 0.500 0.500 0.500
# DFT formation energy: -0.3656 eV per atom
# M_tot: 0.0 Bohr magnetons per cell

---

# PBE AcY2Tl9, optimized geometry
data_AcY2Tl9
_chemical_formula_sum 'Ac1 Y2 Tl9'
_cell_length_a 4.860
_cell_length_b 4.860
_cell_length_c 14.530
_cell_angle_alpha 90.00
_cell_angle_beta 90.00
_cell_angle_gamma 90.00
_space_group_name_H-M_alt 'P 4/m m m'
_space_group_IT_number 123
_space_group_name_Hall '-P 4 2'
loop_
_atom_site_label
_atom_site_type_symbol
_atom_site_fract_x
_atom_site_fract_y
_atom_site_fract_z
Ac1 Ac 0.000 0.000 0.000
Y1 Y 0.000 0.000 0.341
Tl1 Tl 0.000 0.500 0.177
Tl2 Tl 0.000 0.500 0.500
Tl3 Tl 0.500 0.500 0.000
Tl4 Tl 0.500 0.500 0.337
# DFT formation energy: -0.2689 eV per atom
# M_tot: 0.0 Bohr magnetons per cell

---

# PBE AcYTl2, optimized geometry
data_AcYTl2
_chemical_formula_sum 'Ac1 Y1 Tl2'
_cell_length_a 3.912
_cell_length_b 3.912
_cell_length_c 8.130
_cell_angle_alpha 90.00
_cell_angle_beta 90.00
_cell_angle_gamma 90.00
_space_group_name_H-M_alt 'P 4/m m m'
_space_group_IT_number 123
_space_group_name_Hall '-P 4 2'
loop_
_atom_site_label
_atom_site_type_symbol
_atom_site_fract_x
_atom_site_fract_y
_atom_site_fract_z
Ac1 Ac 0.000 0.000 0.000
Y1 Y 0.000 0.000 0.500
Tl1 Tl 0.500 0.500 0.277
# DFT formation energy: -0.3602 eV per atom
# M_tot: 0.0 Bohr magnetons per cell

---

# PBE Ac3Y2Tl3, optimized geometry
data_Ac3Y2Tl3
_chemical_formula_sum 'Ac6 Y4 Tl6'
_cell_length_a 4.022
_cell_length_b 5.779
_cell_length_c 23.884
_cell_angle_alpha 90.00
_cell_angle_beta 90.00
_cell_angle_gamma 90.00
_space_group_name_H-M_alt 'I m m m'
_space_group_IT_number 71
_space_group_name_Hall '-I 2 2'
loop_
_atom_site_label
_atom_site_type_symbol
_atom_site_fract_x
_atom_site_fract_y
_atom_site_fract_z
Ac1 Ac 0.000 0.000 0.000
Ac2 Ac 0.000 0.500 0.125
Y1 Y 0.000 0.000 0.235
Tl1 Tl 0.000 0.000 0.500
Tl2 Tl 0.000 0.500 0.370
# DFT formation energy: -0.2544 eV per atom
# M_tot: 0.0 Bohr magnetons per cell

---

# PBE Ac6YTl2, optimized geometry
data_Ac6YTl2
_chemical_formula_sum 'Ac12 Y2 Tl4'
_cell_length_a 14.060
_cell_length_b 4.033
_cell_length_c 13.016
_cell_angle_alpha 90.00
_cell_angle_beta 107.63
_cell_angle_gamma 90.00
_space_group_name_H-M_alt 'C 1 2/m 1'
_space_group_IT_number 12
loop_
_space_group_symop_operation_xyz
'x,y,z'
'-x,-y,-z'
'-x,y,-z'
'x,-y,z'
'x+1/2,y+1/2,z'
'-x+1/2,-y+1/2,-z'
'-x+1/2,y+1/2,-z'
'x+1/2,-y+1/2,z'
loop_
_atom_site_label
_atom_site_type_symbol
_atom_site_fract_x
_atom_site_fract_y
_atom_site_fract_z
Ac1 Ac 0.029 0.000 0.336
Ac2 Ac 0.176 0.500 0.879
Ac3 Ac 0.193 0.500 0.598
Y1 Y 0.000 0.000 0.000
Tl1 Tl 0.137 0.500 0.177
# DFT formation energy: -0.1390 eV per atom
# M_tot: 0.0 Bohr magnetons per cell